1.
VASP calculation (GGA-PBE) on In2HgO after structural relaxation.

a = 3.5662 Å, b = 3.5662 Å, c = 8.0703 Å
α = 77.24°, β = 77.24°, γ = 60.00°
Element x y z (fractional)
In: 0.7279 0.7279 0.8164
O: 0.0000 0.0000 0.0000
In: 0.2721 0.2721 0.1836
Hg: 0.5000 0.5000 0.5000

Total energy in eV per atom: -3.14
ΔE to the lowest computed polymorph in meV per atom: 0.0
Density of states at the Fermi level in states/eV per cell: 1.239

---

2.
VASP calculation (GGA-PBE) on Li2In after structural relaxation.

a = 4.6616 Å, b = 4.6604 Å, c = 5.6475 Å
α = 90.00°, β = 65.36°, γ = 90.00°
Element x y z (fractional)
In: 0.9129 0.7500 0.1813
Li: 0.5914 0.7500 0.8224
Li: 0.7542 0.2500 0.4885
In: 0.0871 0.2500 0.8187
Li: 0.4086 0.2500 0.1776
Li: 0.2458 0.7500 0.5115

Total energy in eV per atom: -2.48
ΔH_f (0 K) in meV per atom: -289
Density of states at the Fermi level in states/eV per cell: 1.229

---

3.
VASP calculation (GGA-PBE) on BaCoRu2 after structural relaxation.

a = 4.7126 Å, b = 4.7126 Å, c = 3.3874 Å
α = 90.00°, β = 90.00°, γ = 90.00°
Last column: magnetic moment on the atom in μB.
Element x y z (fractional)
Ru: 0.0000 0.0000 0.0000  1.47
Ba: 0.5000 0.0000 0.5000  -0.04
Ru: 0.5000 0.5000 0.0000  1.47
Co: 0.0000 0.5000 0.5000  2.11

Total energy in eV per atom: -5.65
ΔE to the lowest computed polymorph in meV per atom: 919.4
ΔH_f (0 K) in meV per atom: 1245
Density of states at the Fermi level in states/eV per cell: 4.505

---

4.
VASP calculation (GGA-PBE) on Sc2TcGe3 after structural relaxation.

a = 4.3820 Å, b = 5.3508 Å, c = 5.8739 Å
α = 117.10°, β = 111.90°, γ = 90.00°
Element x y z (fractional)
Ge: 0.3569 0.3569 0.7139
Sc: 0.6785 0.1785 0.3570
Ge: 0.6431 0.6431 0.2861
Sc: 0.3215 0.8215 0.6430
Tc: 0.0000 0.5000 0.0000
Ge: 0.0000 0.0000 0.0000

Total energy in eV per atom: -6.48
ΔH_f (0 K) in meV per atom: -335
Density of states at the Fermi level in states/eV per cell: 4.602

---

5.
VASP calculation (GGA-PBE) on Rb3MgSb2O6 after structural relaxation.

a = 6.1299 Å, b = 6.1299 Å, c = 7.3846 Å
α = 90.00°, β = 90.00°, γ = 120.00°
Last column: magnetic moment on the atom in μB.
Element x y z (fractional)
Rb: 0.3333 0.6667 0.6653  0.00
O: 0.1674 0.3347 0.3255  0.10
O: 0.1674 0.8326 0.3255  0.10
Mg: 0.0000 0.0000 0.5000  0.00
Sb: 0.6667 0.3333 0.7848  0.04
O: 0.6653 0.8326 0.3255  0.10
Sb: 0.3333 0.6667 0.2152  0.04
Rb: 0.6667 0.3333 0.3347  0.00
O: 0.8326 0.6653 0.6745  0.10
O: 0.3347 0.1674 0.6745  0.10
Rb: 0.0000 0.0000 0.0000  0.00
O: 0.8326 0.1674 0.6745  0.10

Total energy in eV per atom: -5.10
Density of states at the Fermi level in states/eV per cell: 3.541

---

6.
VASP calculation (GGA-PBE) on Na5Sn after structural relaxation.

a = 5.6884 Å, b = 5.7233 Å, c = 6.3088 Å
α = 116.97°, β = 90.00°, γ = 90.00°
Element x y z (fractional)
Na: 0.5000 0.5000 0.0000
Sn: 0.0000 0.0000 0.0000
Na: 0.5000 0.1491 0.2981
Na: 0.5000 0.8509 0.7019
Na: 0.0000 0.6629 0.3258
Na: 0.0000 0.3371 0.6742

Total energy in eV per atom: -1.85
ΔH_f (0 K) in meV per atom: -84
Density of states at the Fermi level in states/eV per cell: 1.578

---

7.
VASP calculation (GGA-PBE) on NaMgPb3 after structural relaxation.

a = 5.5525 Å, b = 5.5525 Å, c = 5.5525 Å
α = 90.00°, β = 90.00°, γ = 90.00°
Element x y z (fractional)
Pb: 0.5000 0.0000 0.0000
Na: 0.0000 0.0000 0.0000
Mg: 0.5000 0.5000 0.5000
Pb: 0.0000 0.5000 0.0000
Pb: 0.0000 0.0000 0.5000

Total energy in eV per atom: -2.32
ΔE to the lowest computed polymorph in meV per atom: 571.3
ΔH_f (0 K) in meV per atom: 488
Density of states at the Fermi level in states/eV per cell: 5.298

---

8.
VASP calculation (GGA-PBE) on CsCa2Ge after structural relaxation.

a = 8.8552 Å, b = 8.8552 Å, c = 9.1818 Å
α = 61.17°, β = 61.17°, γ = 90.00°
Element x y z (fractional)
Ge: 0.5000 0.5000 0.0000
Ca: 0.3753 0.1250 0.2500
Ca: 0.3747 0.6250 0.2500
Cs: 0.0000 0.0000 0.0000
Ca: 0.3750 0.6247 0.7500
Cs: 0.7500 0.2500 0.5000
Ge: 0.2500 0.7500 0.5000
Ca: 0.8750 0.6253 0.7500

Total energy in eV per atom: -2.34
ΔH_f (0 K) in meV per atom: 32
Density of states at the Fermi level in states/eV per cell: 1.014

---

9.
VASP calculation (GGA-PBE) on TiSnO3 after structural relaxation.

a = 4.0007 Å, b = 4.0007 Å, c = 4.0007 Å
α = 90.00°, β = 90.00°, γ = 90.00°
Last column: magnetic moment on the atom in μB.
Element x y z (fractional)
O: 0.0000 0.0000 0.5000  0.00
Sn: 0.0000 0.0000 0.0000  0.00
O: 0.5000 0.0000 0.0000  -0.01
O: 0.0000 0.5000 0.0000  0.00
Ti: 0.5000 0.5000 0.5000  1.77

Total energy in eV per atom: -6.47
Density of states at the Fermi level in states/eV per cell: 0.609

---

10.
VASP calculation (GGA-PBE) on RbNa3Pa4O12 after structural relaxation.

a = 7.3813 Å, b = 7.3813 Å, c = 7.3813 Å
α = 109.47°, β = 109.47°, γ = 109.47°
Element x y z (fractional)
O: 0.0876 0.2915 0.7961
O: 0.9124 0.7085 0.2039
O: 0.5046 0.7085 0.7961
Pa: 0.0000 0.0000 0.5000
O: 0.2039 0.9124 0.7085
O: 0.7961 0.5046 0.7085
Pa: 0.5000 0.0000 0.0000
O: 0.2915 0.7961 0.0876
O: 0.7961 0.0876 0.2915
Rb: 0.0000 0.0000 0.0000
Na: 0.0000 0.5000 0.5000
O: 0.7085 0.7961 0.5046
Na: 0.5000 0.5000 0.0000
O: 0.2039 0.4954 0.2915
Na: 0.5000 0.0000 0.5000
O: 0.4954 0.2915 0.2039
O: 0.7085 0.2039 0.9124
O: 0.2915 0.2039 0.4954
Pa: 0.5000 0.5000 0.5000
Pa: 0.0000 0.5000 0.0000

Total energy in eV per atom: -8.22
Density of states at the Fermi level in states/eV per cell: 0.000

---

11.
VASP calculation (GGA-PBE) on Ba2PmSbS6 after structural relaxation.

a = 7.2117 Å, b = 7.3854 Å, c = 10.3142 Å
α = 90.00°, β = 90.42°, γ = 90.00°
Element x y z (fractional)
S: 0.1899 0.2142 0.0417
S: 0.8101 0.7858 0.9583
Ba: 0.0166 0.9360 0.2484
S: 0.4174 0.9901 0.7384
S: 0.6899 0.2858 0.5417
Sb: 0.0000 0.5000 0.0000
S: 0.2155 0.1926 0.4548
Ba: 0.4834 0.4360 0.2516
S: 0.7845 0.8074 0.5452
S: 0.3101 0.7142 0.4583
Ba: 0.9834 0.0640 0.7516
S: 0.0826 0.4901 0.7616
S: 0.7155 0.3074 0.9548
Pm: 0.0000 0.5000 0.5000
S: 0.5826 0.0099 0.2616
S: 0.2845 0.6926 0.0452
S: 0.9174 0.5099 0.2384
Sb: 0.5000 0.0000 0.5000
Pm: 0.5000 0.0000 0.0000
Ba: 0.5166 0.5640 0.7484

Total energy in eV per atom: -5.11

---

12.
VASP calculation (GGA-PBE) on TbThOsRh after structural relaxation.

a = 4.9565 Å, b = 4.9565 Å, c = 4.9565 Å
α = 60.00°, β = 60.00°, γ = 60.00°
Element x y z (fractional)
Tb: 0.2500 0.2500 0.2500
Rh: 0.0000 0.0000 0.0000
Os: 0.5000 0.5000 0.5000
Th: 0.7500 0.7500 0.7500

Total energy in eV per atom: -8.17
ΔH_f (0 K) in meV per atom: -509
Density of states at the Fermi level in states/eV per cell: 1.560